[1]
# Pr2NiS (PBE, optimized geometry)
data_Pr2NiS
_chemical_formula_sum 'Pr2 Ni1 S1'
_space_group_name_H-M_alt 'P 1'
_space_group_IT_number 1
_cell_length_a 7.511
_cell_length_b 7.511
_cell_length_c 7.511
_cell_angle_alpha 31.02
_cell_angle_beta 31.02
_cell_angle_gamma 31.02
loop_
_space_group_symop_operation_xyz
'x,y,z'
loop_
_atom_site_label
_atom_site_type_symbol
_atom_site_fract_x
_atom_site_fract_y
_atom_site_fract_z
Pr1 Pr 0.247 0.247 0.247
Pr2 Pr 0.753 0.753 0.753
Ni1 Ni 0.500 0.500 0.500
S1 S 0.000 0.000 0.000
# Formation energy from raw total energies (eV per atom): -1.023
# Magnetic moment (Bohr magnetons per cell): 0.00


[2]
# Pr2NiS (PBE, optimized geometry)
data_Pr2NiS
_chemical_formula_sum 'Pr4 Ni2 S2'
_space_group_name_H-M_alt 'P 1'
_space_group_IT_number 1
_cell_length_a 11.860
_cell_length_b 11.860
_cell_length_c 4.115
_cell_angle_alpha 90.00
_cell_angle_beta 90.00
_cell_angle_gamma 160.53
loop_
_space_group_symop_operation_xyz
'x,y,z'
loop_
_atom_site_label
_atom_site_type_symbol
_atom_site_fract_x
_atom_site_fract_y
_atom_site_fract_z
Pr1 Pr 0.066 0.934 0.750
Pr2 Pr 0.312 0.688 0.750
Pr3 Pr 0.688 0.312 0.250
Pr4 Pr 0.934 0.066 0.250
Ni1 Ni 0.469 0.531 0.750
Ni2 Ni 0.531 0.469 0.250
S1 S 0.190 0.810 0.750
S2 S 0.810 0.190 0.250
# Formation energy from raw total energies (eV per atom): -1.135
# Magnetic moment (Bohr magnetons per cell): 0.00


[3]
# PrNiS2 (PBE, optimized geometry)
data_PrNiS2
_chemical_formula_sum 'Pr1 Ni1 S2'
_space_group_name_H-M_alt 'P 1'
_space_group_IT_number 1
_cell_length_a 8.168
_cell_length_b 8.168
_cell_length_c 8.168
_cell_angle_alpha 24.97
_cell_angle_beta 24.97
_cell_angle_gamma 24.97
loop_
_space_group_symop_operation_xyz
'x,y,z'
loop_
_atom_site_label
_atom_site_type_symbol
_atom_site_fract_x
_atom_site_fract_y
_atom_site_fract_z
Pr1 Pr 0.000 0.000 0.000
Ni1 Ni 0.500 0.500 0.500
S1 S 0.118 0.118 0.118
S2 S 0.882 0.882 0.882
# Formation energy from raw total energies (eV per atom): -0.386
# Magnetic moment (Bohr magnetons per cell): 0.00


[4]
# Pr4NiS7 (PBE, optimized geometry)
data_Pr4NiS7
_chemical_formula_sum 'Pr8 Ni2 S14'
_space_group_name_H-M_alt 'P 1'
_space_group_IT_number 1
_cell_length_a 9.873
_cell_length_b 9.873
_cell_length_c 6.910
_cell_angle_alpha 90.00
_cell_angle_beta 90.00
_cell_angle_gamma 120.00
loop_
_space_group_symop_operation_xyz
'x,y,z'
loop_
_atom_site_label
_atom_site_type_symbol
_atom_site_fract_x
_atom_site_fract_y
_atom_site_fract_z
Pr1 Pr 0.161 0.788 0.000
Pr2 Pr 0.212 0.373 0.000
Pr3 Pr 0.333 0.667 0.544
Pr4 Pr 0.373 0.161 0.500
Pr5 Pr 0.627 0.839 0.000
Pr6 Pr 0.667 0.333 0.044
Pr7 Pr 0.788 0.627 0.500
Pr8 Pr 0.839 0.212 0.500
Ni1 Ni 0.000 0.000 0.172
Ni2 Ni 0.000 0.000 0.672
S1 S 0.069 0.514 0.757
S2 S 0.099 0.878 0.389
S3 S 0.122 0.221 0.389
S4 S 0.221 0.099 0.889
S5 S 0.333 0.667 0.158
S6 S 0.445 0.931 0.757
S7 S 0.486 0.555 0.757
S8 S 0.514 0.445 0.257
S9 S 0.555 0.069 0.257
S10 S 0.667 0.333 0.658
S11 S 0.779 0.901 0.389
S12 S 0.878 0.779 0.889
S13 S 0.901 0.122 0.889
S14 S 0.931 0.486 0.257
# Formation energy from raw total energies (eV per atom): -1.617
# Magnetic moment (Bohr magnetons per cell): 3.99


> What is the magnetic moment in the third record?

0.00 Bohr magnetons per cell


> Which formula does entry 4 have?

Pr4NiS7


> magnetic moment of number 1 (Pr2NiS)?

0.00 Bohr magnetons per cell